No. 1
Below is AsPtAu2 after structural relaxation, with properties calculated at the PBE level.

Results
Its total magnetic moment is 0.00 μB/cell. The calculation puts the energy relative to the elements at 0.00 eV/f.u.

Unit cell a=3.170 b=3.170 c=7.100 alpha=90.00 beta=90.00 gamma=90.00
Sites, in units of the cell vectors:
As (0.000, 0.000, 0.000)
Pt (0.500, 0.500, 0.813)
Au (0.000, 0.000, 0.546)
Au (0.500, 0.500, 0.290)

---

No. 2
Below is AsPtAu2 after structural relaxation, with properties calculated at the PBE level.

Results
Its total magnetic moment is 0.00 μB/cell. The calculation puts the energy relative to the elements at 0.47 eV/f.u.

Unit cell a=4.888 b=4.888 c=4.888 alpha=128.12 beta=128.12 gamma=76.43
Sites, in units of the cell vectors:
As (0.000, 0.000, 0.000)
Pt (0.750, 0.250, 0.500)
Au (0.250, 0.750, 0.500)
Au (0.500, 0.500, 0.000)

---

No. 3
Below is AsPtAu2 after structural relaxation, with properties calculated at the PBE level.

Results
Its total magnetic moment is 0.00 μB/cell. The calculation puts the energy relative to the elements at 0.34 eV/f.u.

Unit cell a=5.763 b=5.763 c=4.285 alpha=94.81 beta=94.81 gamma=31.41
Sites, in units of the cell vectors:
As (0.000, 0.000, 0.000)
Pt (0.500, 0.500, 0.500)
Au (0.209, 0.209, 0.743)
Au (0.791, 0.791, 0.257)